(A)
The following is a DFT calculation (GGA-PBE) of a relaxed MnCdPS2 crystal.

Calculated values
* crystal system: tetragonal

Cell lengths 4.658, 4.658, 4.417 Å; angles 90.00, 90.00, 90.00 degrees
Site moments in Bohr magnetons follow the coordinates.
Atoms (fractional coordinates):
P1 0.000 0.000 0.500  -0.16
S1 0.000 0.500 0.000  0.05
S2 0.500 0.000 0.000  0.05
Mn1 0.000 0.000 0.000  2.51
Cd1 0.500 0.500 0.500  0.00

---

(B)
The following is a DFT calculation (GGA-PBE) of a relaxed MnCdPS2 crystal.

Calculated values
* crystal system: tetragonal

Cell lengths 4.938, 4.938, 4.886 Å; angles 90.00, 90.00, 90.00 degrees
Site moments in Bohr magnetons follow the coordinates.
Atoms (fractional coordinates):
P1 0.000 0.000 0.500  0.17
S1 0.000 0.500 0.000  0.15
S2 0.500 0.000 0.000  0.15
Mn1 0.500 0.500 0.500  0.00
Cd1 0.000 0.000 0.000  0.01

---

Short version: (B) is the least stable of them.